No. 1
# PtAu2Cl

A relaxed structure of PtAu2Cl (GGA-PBEsol, the Alexandria database).

## Properties
- total magnetic moment (μB/cell) = 0.00
- formation energy (no corrections) (eV/atom) = 0.416
- electronic total energy (eV per atom) = -3.7889
- Fermi-level density of states (states/eV/f.u.) = 4.2

Cell and atoms, written as CIF:
```
data_PtAu2Cl
_chemical_formula_sum 'Pt1 Au2 Cl1'
_cell_length_a 4.948
_cell_length_b 4.948
_cell_length_c 2.777
_cell_angle_alpha 90.00
_cell_angle_beta 90.00
_cell_angle_gamma 90.00
_space_group_name_H-M_alt 'P 1'
_space_group_IT_number 1
loop_
_space_group_symop_operation_xyz
'x,y,z'
loop_
_atom_site_label
_atom_site_fract_x
_atom_site_fract_y
_atom_site_fract_z
_atom_site_occupancy
Pt1 0.000 0.000 0.000 1
Au1 0.000 0.500 0.500 1
Au2 0.500 0.000 0.500 1
Cl1 0.500 0.500 0.000 1
```


No. 2
# FeAgS2

A relaxed structure of FeAgS2 (GGA-PBEsol, the Alexandria database).

## Properties
- total magnetic moment (μB/cell) = 1.01
- formation energy (no corrections) (eV/atom) = -0.265
- electronic total energy (eV per atom) = -5.5253
- Fermi-level density of states (states/eV/f.u.) = 4.1

Cell and atoms, written as CIF:
```
data_FeAgS2
_chemical_formula_sum 'Fe1 Ag1 S2'
_cell_length_a 6.879
_cell_length_b 6.879
_cell_length_c 6.879
_cell_angle_alpha 27.91
_cell_angle_beta 27.91
_cell_angle_gamma 27.91
_space_group_name_H-M_alt 'P 1'
_space_group_IT_number 1
loop_
_space_group_symop_operation_xyz
'x,y,z'
loop_
_atom_site_label
_atom_site_fract_x
_atom_site_fract_y
_atom_site_fract_z
_atom_site_occupancy
Fe1 0.000 0.000 0.000 1
Ag1 0.845 0.845 0.845 1
S1 0.272 0.272 0.272 1
S2 0.725 0.725 0.725 1
```


No. 3
# Sc2AuF

A relaxed structure of Sc2AuF (GGA-PBEsol, the Alexandria database).

## Properties
- total magnetic moment (μB/cell) = 0.00
- formation energy (no corrections) (eV/atom) = -0.955
- electronic total energy (eV per atom) = -5.7199
- ΔE to the lowest computed polymorph (eV/f.u.) = 2.13
- Fermi-level density of states (states/eV/f.u.) = 2.5

Cell and atoms, written as CIF:
```
data_Sc2AuF
_chemical_formula_sum 'Sc2 Au1 F1'
_cell_length_a 9.034
_cell_length_b 9.034
_cell_length_c 9.034
_cell_angle_alpha 18.84
_cell_angle_beta 18.84
_cell_angle_gamma 18.84
_space_group_name_H-M_alt 'P 1'
_space_group_IT_number 1
loop_
_space_group_symop_operation_xyz
'x,y,z'
loop_
_atom_site_label
_atom_site_fract_x
_atom_site_fract_y
_atom_site_fract_z
_atom_site_occupancy
Sc1 0.101 0.101 0.101 1
Sc2 0.899 0.899 0.899 1
Au1 0.000 0.000 0.000 1
F1 0.500 0.500 0.500 1
```


Question: Among the records above, which one has the highest formation energy (no corrections)?
Answer: PtAu2Cl